BaBi2Pd2Au | PBE | relaxed

Cell: 5.138 5.138 6.454 Å, 90.00 90.00 90.00°
Atoms (fractional coordinates):
Pd 0.000 0.500 0.000
Ba 0.000 0.000 0.500
Pd 0.500 0.000 0.000
Au 0.000 0.000 0.000
Bi 0.500 0.500 0.758
Bi 0.500 0.500 0.242

Computed properties:
SG   P4/mmm (123)
Total moment   0.00 μB/cell
N(E_F)   1.73 states/eV per cell
Formation energy   -0.37 eV/atom
E   -4.26 eV per atom